Compound: CeYCoIr
Source: the Alexandria database
Functional: PBE
Structure: relaxed

CIF file:
```
data_CeYCoIr
_chemical_formula_sum 'Ce4 Y4 Co4 Ir4'
_space_group_name_H-M_alt 'F -4 3 m'
_space_group_IT_number 216
_space_group_name_Hall 'F -4 2 3'
_cell_length_a 6.851
_cell_length_b 6.851
_cell_length_c 6.851
_cell_angle_alpha 90.00
_cell_angle_beta 90.00
_cell_angle_gamma 90.00
loop_
_atom_site_label
_atom_site_type_symbol
_atom_site_fract_x
_atom_site_fract_y
_atom_site_fract_z
Ce1 Ce 0.000 0.000 0.000
Y1 Y 0.000 0.000 0.500
Co1 Co 0.250 0.250 0.750
Ir1 Ir 0.250 0.250 0.250
```

Properties
The total energy is -7.5071 eV per atom. The calculation puts the formation energy at -1.7 eV per formula unit. The calculation puts the density of states at the Fermi level at 17.93 states/eV per cell.



Compound: NaLa2AgRu
Source: the Alexandria database
Functional: PBE
Structure: relaxed

CIF file:
```
data_NaLa2AgRu
_chemical_formula_sum 'Na1 La2 Ag1 Ru1'
_space_group_name_H-M_alt 'P 4/m m m'
_space_group_IT_number 123
_space_group_name_Hall '-P 4 2'
_cell_length_a 5.335
_cell_length_b 5.335
_cell_length_c 5.476
_cell_angle_alpha 90.00
_cell_angle_beta 90.00
_cell_angle_gamma 90.00
loop_
_atom_site_label
_atom_site_type_symbol
_atom_site_fract_x
_atom_site_fract_y
_atom_site_fract_z
Na1 Na 0.000 0.000 0.000
La1 La 0.000 0.500 0.500
Ag1 Ag 0.500 0.500 0.000
Ru1 Ru 0.500 0.500 0.500
```

Properties
The total energy is -4.6754 eV per atom. The calculation puts the formation energy at -0.1 eV per formula unit. The calculation puts the density of states at the Fermi level at 4.73 states/eV per cell. Its relative energy among the computed polymorphs is 0 meV/atom.



Compound: IrPtS
Source: the Alexandria database
Functional: PBE
Structure: relaxed

CIF file:
```
data_IrPtS
_chemical_formula_sum 'Ir2 Pt2 S2'
_space_group_name_H-M_alt 'P 1'
_space_group_IT_number 1
_space_group_name_Hall 'P 1'
_cell_length_a 3.646
_cell_length_b 5.363
_cell_length_c 5.772
_cell_angle_alpha 111.76
_cell_angle_beta 95.32
_cell_angle_gamma 106.39
loop_
_atom_site_label
_atom_site_type_symbol
_atom_site_fract_x
_atom_site_fract_y
_atom_site_fract_z
Ir1 Ir 0.000 0.000 0.000
Ir2 Ir 0.321 0.913 0.412
Pt1 Pt 0.283 0.594 0.699
Pt2 Pt 0.677 0.365 0.299
S1 S 0.636 0.677 0.123
S2 S 0.955 0.138 0.676
```

Properties
The total energy is -6.3405 eV per atom. Its uncorrected formation energy is 0.003 eV per atom. The calculation puts the density of states at the Fermi level at 1.98 states/eV per cell. Its relative energy among the computed polymorphs is 27 meV/atom.



Compound: Mg2GeSb
Source: the Alexandria database
Functional: PBE
Structure: relaxed

CIF file:
```
data_Mg2GeSb
_chemical_formula_sum 'Mg2 Ge1 Sb1'
_space_group_name_H-M_alt 'P 4/m m m'
_space_group_IT_number 123
_space_group_name_Hall '-P 4 2'
_cell_length_a 4.674
_cell_length_b 4.674
_cell_length_c 4.023
_cell_angle_alpha 90.00
_cell_angle_beta 90.00
_cell_angle_gamma 90.00
loop_
_atom_site_label
_atom_site_type_symbol
_atom_site_fract_x
_atom_site_fract_y
_atom_site_fract_z
Mg1 Mg 0.000 0.500 0.000
Ge1 Ge 0.000 0.000 0.500
Sb1 Sb 0.500 0.500 0.500
```

Properties
The total energy is -3.0796 eV per atom. Its uncorrected formation energy is -0.097 eV per atom. The calculation puts the density of states at the Fermi level at 1.65 states/eV per cell. Its relative energy among the computed polymorphs is 11 meV/atom.



Compound: PuNi2Ge4Os
Source: the Alexandria database
Functional: PBE
Structure: relaxed

CIF file:
```
data_PuNi2Ge4Os
_chemical_formula_sum 'Pu3 Ni6 Ge12 Os3'
_space_group_name_H-M_alt 'R -3 m'
_space_group_IT_number 166
_space_group_name_Hall '-R 3 2"'
_cell_length_a 4.1647
_cell_length_b 4.1647
_cell_length_c 25.8735
_cell_angle_alpha 90.00
_cell_angle_beta 90.00
_cell_angle_gamma 120.00
loop_
_atom_site_label
_atom_site_type_symbol
_atom_site_fract_x
_atom_site_fract_y
_atom_site_fract_z
Pu1 Pu 0.0000 0.0000 0.0000
Ni1 Ni 0.0000 0.0000 0.2318
Ge1 Ge 0.0000 0.0000 0.1270
Ge2 Ge 0.0000 0.0000 0.3974
Os1 Os 0.0000 0.0000 0.5000
```

Properties
The total energy is -7.0842 eV per atom. The calculation puts the formation energy at -1.1 eV per formula unit. The calculation puts the density of states at the Fermi level at 34.98 states/eV per cell.



Compound: AcTbCd
Source: the Alexandria database
Functional: PBE
Structure: relaxed

CIF file:
```
data_AcTbCd
_chemical_formula_sum 'Ac2 Tb2 Cd2'
_space_group_name_H-M_alt 'I 4 m m'
_space_group_IT_number 107
_space_group_name_Hall 'I 4 -2'
_cell_length_a 3.886
_cell_length_b 3.886
_cell_length_c 13.121
_cell_angle_alpha 90.00
_cell_angle_beta 90.00
_cell_angle_gamma 90.00
loop_
_atom_site_label
_atom_site_type_symbol
_atom_site_fract_x
_atom_site_fract_y
_atom_site_fract_z
Ac1 Ac 0.000 0.000 0.000
Tb1 Tb 0.000 0.000 0.303
Cd1 Cd 0.000 0.000 0.675
```

Properties
The total energy is -3.3871 eV per atom. The calculation puts the formation energy at -0.5 eV per formula unit. The calculation puts the density of states at the Fermi level at 8.46 states/eV per cell. Its relative energy among the computed polymorphs is 0 meV/atom.



Compound: NaGaBi3
Source: the Alexandria database
Functional: PBE
Structure: relaxed

CIF file:
```
data_NaGaBi3
_chemical_formula_sum 'Na1 Ga1 Bi3'
_space_group_name_H-M_alt 'P m -3 m'
_space_group_IT_number 221
_space_group_name_Hall '-P 4 2 3'
_cell_length_a 5.565
_cell_length_b 5.565
_cell_length_c 5.565
_cell_angle_alpha 90.00
_cell_angle_beta 90.00
_cell_angle_gamma 90.00
loop_
_atom_site_label
_atom_site_type_symbol
_atom_site_fract_x
_atom_site_fract_y
_atom_site_fract_z
Na1 Na 0.000 0.000 0.000
Ga1 Ga 0.500 0.500 0.500
Bi1 Bi 0.000 0.000 0.500
```

Properties
The total energy is -2.5914 eV per atom. The calculation puts the formation energy at 3.0 eV per formula unit. The calculation puts the density of states at the Fermi level at 3.14 states/eV per cell. Its relative energy among the computed polymorphs is 649 meV/atom.



Compound: SrMgGe2
Source: the Alexandria database
Functional: PBE
Structure: relaxed

CIF file:
```
data_SrMgGe2
_chemical_formula_sum 'Sr3 Mg3 Ge6'
_space_group_name_H-M_alt 'R -3 m'
_space_group_IT_number 166
_space_group_name_Hall '-R 3 2"'
_cell_length_a 4.5726
_cell_length_b 4.5726
_cell_length_c 16.8432
_cell_angle_alpha 90.00
_cell_angle_beta 90.00
_cell_angle_gamma 120.00
loop_
_atom_site_label
_atom_site_type_symbol
_atom_site_fract_x
_atom_site_fract_y
_atom_site_fract_z
Sr1 Sr 0.0000 0.0000 0.0000
Mg1 Mg 0.0000 0.0000 0.5000
Ge1 Ge 0.0000 0.0000 0.2154
```

Properties
The total energy is -3.4005 eV per atom. The calculation puts the formation energy at -1.1 eV per formula unit. The calculation puts the density of states at the Fermi level at 9.49 states/eV per cell.



Compound: AcLa2Ge4
Source: the Alexandria database
Functional: PBE
Structure: relaxed

CIF file:
```
data_AcLa2Ge4
_chemical_formula_sum 'Ac2 La4 Ge8'
_space_group_name_H-M_alt 'I m m m'
_space_group_IT_number 71
_space_group_name_Hall '-I 2 2'
_cell_length_a 4.192
_cell_length_b 4.681
_cell_length_c 18.975
_cell_angle_alpha 90.00
_cell_angle_beta 90.00
_cell_angle_gamma 90.00
loop_
_atom_site_label
_atom_site_type_symbol
_atom_site_fract_x
_atom_site_fract_y
_atom_site_fract_z
Ac1 Ac 0.000 0.000 0.000
La1 La 0.000 0.500 0.319
Ge1 Ge 0.000 0.000 0.432
Ge2 Ge 0.000 0.500 0.154
```

Properties
The total energy is -5.3923 eV per atom. The calculation puts the formation energy at -5.3 eV per formula unit. The calculation puts the density of states at the Fermi level at 8.23 states/eV per cell.



Compound: InIr2W
Source: the Alexandria database
Functional: PBE
Structure: relaxed

CIF file:
```
data_InIr2W
_chemical_formula_sum 'In4 Ir8 W4'
_space_group_name_H-M_alt 'I -4 2 d'
_space_group_IT_number 122
_space_group_name_Hall 'I -4 2bw'
_cell_length_a 7.280
_cell_length_b 7.280
_cell_length_c 5.626
_cell_angle_alpha 90.00
_cell_angle_beta 90.00
_cell_angle_gamma 90.00
loop_
_atom_site_label
_atom_site_type_symbol
_atom_site_fract_x
_atom_site_fract_y
_atom_site_fract_z
In1 In 0.000 0.000 0.000
Ir1 Ir 0.211 0.250 0.625
W1 W 0.000 0.000 0.500
```

Properties
The total energy is -7.8579 eV per atom. The calculation puts the formation energy at 2.0 eV per formula unit. The calculation puts the density of states at the Fermi level at 18.03 states/eV per cell.



Compound: NdMg6Zn2
Source: the Alexandria database
Functional: PBE
Structure: relaxed

CIF file:
```
data_NdMg6Zn2
_chemical_formula_sum 'Nd1 Mg6 Zn2'
_space_group_name_H-M_alt 'P 4/m m m'
_space_group_IT_number 123
_space_group_name_Hall '-P 4 2'
_cell_length_a 4.367
_cell_length_b 4.367
_cell_length_c 10.607
_cell_angle_alpha 90.00
_cell_angle_beta 90.00
_cell_angle_gamma 90.00
loop_
_atom_site_label
_atom_site_type_symbol
_atom_site_fract_x
_atom_site_fract_y
_atom_site_fract_z
Nd1 Nd 0.000 0.000 0.000
Mg1 Mg 0.000 0.000 0.500
Mg2 Mg 0.000 0.500 0.278
Mg3 Mg 0.500 0.500 0.500
Zn1 Zn 0.500 0.500 0.116
```

Properties
The total energy is -2.0074 eV per atom. The calculation puts the formation energy at -1.2 eV per formula unit. The calculation puts the density of states at the Fermi level at 4.99 states/eV per cell.



Compound: TmNi5P3
Source: the Alexandria database
Functional: PBE
Structure: relaxed

CIF file:
```
data_TmNi5P3
_chemical_formula_sum 'Tm4 Ni20 P12'
_space_group_name_H-M_alt 'C m c m'
_space_group_IT_number 63
_space_group_name_Hall '-C 2c 2'
_cell_length_a 3.534
_cell_length_b 11.635
_cell_length_c 11.426
_cell_angle_alpha 90.00
_cell_angle_beta 90.00
_cell_angle_gamma 90.00
loop_
_atom_site_label
_atom_site_type_symbol
_atom_site_fract_x
_atom_site_fract_y
_atom_site_fract_z
Tm1 Tm 0.000 0.156 0.250
Ni1 Ni 0.000 0.000 0.000
Ni2 Ni 0.000 0.202 0.574
Ni3 Ni 0.000 0.450 0.146
P1 P 0.000 0.119 0.750
P2 P 0.000 0.382 0.544
```

Properties
The total energy is -6.2613 eV per atom. The calculation puts the formation energy at -6.7 eV per formula unit. The calculation puts the density of states at the Fermi level at 19.95 states/eV per cell.



- Among the records above, which one has the lowest density of states at the Fermi level?
  Mg2GeSb